(1)
ZrSbPt6: relaxed, GGA-PBE. Values from VASP.

Structure (Quantum ESPRESSO input):
```
&SYSTEM
  ibrav = 0, nat = 8, ntyp = 3
/
ATOMIC_SPECIES
Zr 91.22 Zr.upf
Sb 121.76 Sb.upf
Pt 195.08 Pt.upf
CELL_PARAMETERS angstrom
4.066 0.000 0.000
0.000 4.066 0.000
0.000 0.000 8.176
ATOMIC_POSITIONS angstrom
Zr 0.000 0.000 4.088
Sb 0.000 0.000 0.000
Pt 2.033 2.033 0.000
Pt 2.033 2.033 4.088
Pt 2.033 0.000 2.097
Pt 2.033 0.000 6.079
Pt 0.000 2.033 2.097
Pt 0.000 2.033 6.079
```

* formation energy (no corrections): -0.601 eV/atom

---

(2)
Zr6In3Ga: relaxed, GGA-PBE. Values from VASP.

Structure (Quantum ESPRESSO input):
```
&SYSTEM
  ibrav = 0, nat = 20, ntyp = 3
/
ATOMIC_SPECIES
Zr 91.22 Zr.upf
In 114.82 In.upf
Ga 69.72 Ga.upf
CELL_PARAMETERS angstrom
-5.462 -0.591 0.346
1.060 -7.829 3.359
0.181 3.894 9.017
ATOMIC_POSITIONS angstrom
Zr -2.861 2.055 9.343
Zr -2.813 0.334 5.843
Zr -3.163 -2.520 3.935
Zr -1.058 -2.006 8.787
Zr -1.408 -4.860 6.879
Zr -1.360 -6.581 3.379
Zr -0.044 -0.905 5.223
Zr -0.047 -2.250 1.562
Zr -0.663 2.096 7.253
Zr -3.558 -6.622 5.469
Zr -4.174 -2.276 11.160
Zr -4.177 -3.621 7.499
In -2.402 -4.526 9.946
In -2.201 -4.210 1.852
In -1.819 0.000 2.776
In -0.079 -3.834 4.259
In 0.090 1.947 4.509
In -4.142 -0.692 8.463
Ga -2.110 -2.263 6.361
Ga 0.000 0.000 0.000
```

* energy relative to the elements: -0.10 eV per atom

---

(3)
Ni2PtRh6: relaxed, GGA-PBE. Values from VASP.

Structure (Quantum ESPRESSO input):
```
&SYSTEM
  ibrav = 0, nat = 9, ntyp = 3
/
ATOMIC_SPECIES
Ni 58.69 Ni.upf
Pt 195.08 Pt.upf
Rh 102.91 Rh.upf
CELL_PARAMETERS angstrom
2.716 0.000 0.000
1.358 5.699 1.013
1.358 2.463 8.437
ATOMIC_POSITIONS angstrom
Ni 1.358 1.187 1.996
Ni 4.074 6.974 7.454
Pt 0.000 0.000 0.000
Rh 2.716 3.394 1.518
Rh 2.716 4.767 7.932
Rh 2.716 5.826 5.509
Rh 4.074 4.658 3.509
Rh 1.358 3.503 5.940
Rh 2.716 2.336 3.941
```

* energy relative to the elements: 0.02 eV per atom

---

(4)
Zn3Fe2N4: relaxed, GGA-PBE. Values from VASP.

Structure (Quantum ESPRESSO input):
```
&SYSTEM
  ibrav = 0, nat = 18, ntyp = 3
/
ATOMIC_SPECIES
Zn 65.41 Zn.upf
Fe 55.84 Fe.upf
N 14.01 N.upf
CELL_PARAMETERS angstrom
-4.463 -0.964 4.085
3.821 -2.325 4.188
0.743 4.684 2.085
ATOMIC_POSITIONS angstrom
Zn 3.152 0.943 4.441
Zn 3.264 1.818 7.033
Zn -3.051 0.452 5.917
Zn -3.162 -0.423 3.325
Zn 0.828 -0.632 4.670
Zn -0.727 2.027 5.688
Fe -1.395 -1.622 6.185
Fe -0.924 1.011 3.106
Fe 1.496 3.017 4.174
Fe 1.026 0.384 7.252
N 2.924 2.925 5.408
N 2.437 0.010 6.053
N -2.823 -1.530 4.950
N -2.336 1.385 4.305
N -0.667 0.042 6.622
N -0.757 -0.800 2.679
N 0.769 1.353 3.736
N 0.858 2.194 7.679
```

* formation energy (no corrections): 0.305 eV/atom

---

(5)
Sm2HoTm3Bi6: relaxed, GGA-PBE. Values from VASP.

Structure (Quantum ESPRESSO input):
```
&SYSTEM
  ibrav = 0, nat = 12, ntyp = 4
/
ATOMIC_SPECIES
Sm 150.36 Sm.upf
Ho 164.93 Ho.upf
Tm 168.93 Tm.upf
Bi 208.98 Bi.upf
CELL_PARAMETERS angstrom
-3.264 -1.287 -2.788
3.705 -8.133 -0.583
-4.478 -0.234 8.952
ATOMIC_POSITIONS angstrom
Sm -3.239 -6.658 3.265
Sm -0.797 -2.997 2.317
Ho -1.632 -0.644 -1.394
Tm 0.221 -4.710 -1.685
Tm -5.075 -2.581 3.532
Tm 1.038 -7.073 2.050
Bi -0.653 -8.093 4.501
Bi -1.468 -5.715 0.755
Bi -3.384 -1.562 1.081
Bi -6.783 -3.550 5.979
Bi 2.747 -6.104 -0.397
Bi -2.569 -3.939 4.827
```

* energy relative to the elements: -0.84 eV per atom

---

> Number 1 is which compound?

ZrSbPt6

---

Copy entry 1 word for word.
ZrSbPt6: relaxed, GGA-PBE. Values from VASP.

Structure (Quantum ESPRESSO input):
```
&SYSTEM
  ibrav = 0, nat = 8, ntyp = 3
/
ATOMIC_SPECIES
Zr 91.22 Zr.upf
Sb 121.76 Sb.upf
Pt 195.08 Pt.upf
CELL_PARAMETERS angstrom
4.066 0.000 0.000
0.000 4.066 0.000
0.000 0.000 8.176
ATOMIC_POSITIONS angstrom
Zr 0.000 0.000 4.088
Sb 0.000 0.000 0.000
Pt 2.033 2.033 0.000
Pt 2.033 2.033 4.088
Pt 2.033 0.000 2.097
Pt 2.033 0.000 6.079
Pt 0.000 2.033 2.097
Pt 0.000 2.033 6.079
```

* formation energy (no corrections): -0.601 eV/atom